Record 1
! KNaGa4 | Alexandria | PBE | relaxed; values from VASP
! * space-group type: Cm, No. 8
! * N(E_F): 2.146 states/eV/cell
! * energy relative to the lowest polymorph listed for this composition: 140 meV/atom
! * total magnetization: 0.0 μB per cell
! * ΔH_f (0 K): 0.079 eV/atom
&SYSTEM
  ibrav = 0, nat = 6, ntyp = 3
/
ATOMIC_SPECIES
Na 22.99 Na.upf
Ga 69.72 Ga.upf
K 39.10 K.upf
ATOMIC_POSITIONS crystal
Na 0.1033 0.0150 0.0301
Ga 0.4627 0.1372 0.7583
Ga 0.2906 0.7150 0.4300
Ga 0.6474 0.5534 0.1068
K 0.7834 0.2083 0.4166
Ga 0.4627 0.6211 0.7583
CELL_PARAMETERS angstrom
3.3201 0.0000 -0.0197
0.0000 5.7504 0.0000
-1.7054 -2.8752 7.4520

---

Record 2
! EuNiH3 | Alexandria | PBE | relaxed; values from VASP
! * space-group type: Pm-3m, No. 221
! * N(E_F): 8.470 states/eV/cell
! * total magnetization: 7.2 μB per cell
! * energy: -5.686 eV/atom
&SYSTEM
  ibrav = 0, nat = 5, ntyp = 3
/
ATOMIC_SPECIES
H 1.01 H.upf
Eu 151.96 Eu.upf
Ni 58.69 Ni.upf
ATOMIC_POSITIONS crystal
H 0.5000 0.0000 0.0000
H 0.0000 0.0000 0.5000
Eu 0.5000 0.5000 0.5000
Ni 0.0000 0.0000 0.0000
H 0.0000 0.5000 0.0000
CELL_PARAMETERS angstrom
3.6231 0.0000 0.0000
0.0000 3.6231 0.0000
0.0000 0.0000 3.6231

---

Record 3
! Sn3PbF | Alexandria | PBE | relaxed; values from VASP
! * space-group type: Pm-3m, No. 221
! * energy relative to the elements, uncorrected: 0.451 eV per atom
! * N(E_F): 3.275 states/eV/cell
! * energy relative to the lowest polymorph listed for this composition: 838 meV/atom
! * total magnetization: 0.0 μB per cell
&SYSTEM
  ibrav = 0, nat = 5, ntyp = 3
/
ATOMIC_SPECIES
F 19.00 F.upf
Pb 207.20 Pb.upf
Sn 118.71 Sn.upf
ATOMIC_POSITIONS crystal
F 0.5000 0.5000 0.5000
Pb 0.0000 0.0000 0.0000
Sn 0.0000 0.0000 0.5000
Sn 0.0000 0.5000 0.0000
Sn 0.5000 0.0000 0.0000
CELL_PARAMETERS angstrom
5.8930 0.0000 0.0000
0.0000 5.8930 0.0000
0.0000 0.0000 5.8930

---

Record 4
! LaTmNi2 | Alexandria | PBE | relaxed; values from VASP
! * space-group type: Fm-3m, No. 225
! * N(E_F): 4.072 states/eV/cell
! * energy relative to the lowest polymorph listed for this composition: 87 meV/atom
! * total magnetization: 0.0 μB per cell
! * ΔH_f (0 K): -0.312 eV/atom
&SYSTEM
  ibrav = 0, nat = 4, ntyp = 3
/
ATOMIC_SPECIES
La 138.91 La.upf
Ni 58.69 Ni.upf
Tm 168.93 Tm.upf
ATOMIC_POSITIONS crystal
La 0.5000 0.5000 0.5000
Ni 0.7500 0.7500 0.7500
Ni 0.2500 0.2500 0.2500
Tm 0.0000 0.0000 0.0000
CELL_PARAMETERS angstrom
4.8697 0.0000 0.0000
2.4349 4.2173 0.0000
2.4349 1.4058 3.9761

---

Record 5
! Cd2Ge2Br7 | Alexandria | PBE | relaxed; values from VASP
! * space-group type: C2/m, No. 12
! * energy relative to the elements, uncorrected: -0.531 eV per atom
! * N(E_F): 4.899 states/eV/cell
! * total magnetization: 0.0 μB per cell
&SYSTEM
  ibrav = 0, nat = 11, ntyp = 3
/
ATOMIC_SPECIES
Br 79.90 Br.upf
Cd 112.41 Cd.upf
Ge 72.64 Ge.upf
ATOMIC_POSITIONS crystal
Br 0.5703 0.9345 0.8492
Cd 0.5855 0.5855 0.7345
Ge 0.3282 0.6718 0.0000
Br 0.9345 0.5703 0.8492
Br 0.3002 0.3002 0.8610
Br 0.0655 0.4297 0.1508
Ge 0.6718 0.3282 0.0000
Br 0.4297 0.0655 0.1508
Cd 0.4145 0.4145 0.2655
Br 0.5000 0.5000 0.5000
Br 0.6998 0.6998 0.1390
CELL_PARAMETERS angstrom
7.1611 -0.1758 -1.0071
-3.6194 6.1816 -1.0071
0.1775 0.3009 11.6624

---

Record 6
! KMnRh2 | Alexandria | PBE | relaxed; values from VASP
! * space-group type: P4mm, No. 99
! * N(E_F): 3.523 states/eV/cell
! * energy relative to the lowest polymorph listed for this composition: 210 meV/atom
! * total magnetization: 3.7 μB per cell
! * ΔH_f (0 K): 0.479 eV/atom
&SYSTEM
  ibrav = 0, nat = 4, ntyp = 3
/
ATOMIC_SPECIES
Rh 102.91 Rh.upf
Mn 54.94 Mn.upf
K 39.10 K.upf
ATOMIC_POSITIONS crystal
Rh 0.0000 0.0000 0.9988
Mn 0.5000 0.5000 0.8347
Rh 0.5000 0.5000 0.1894
K 0.0000 0.0000 0.4771
CELL_PARAMETERS angstrom
-2.2596 1.9754 0.0887
-1.6386 -1.7914 -1.7669
-3.2614 -4.0506 7.1315